Entry 1:
DFT (PBE) results for BaFe2CoCl8 after structural relaxation.

abc: 7.110 7.110 8.154
angles: 90.00 90.00 120.00
Atoms (fractional coordinates):
Ba 0.000 0.000 0.000
Fe 0.333 0.667 0.232
Fe 0.667 0.333 0.768
Co 0.000 0.000 0.500
Cl 0.157 0.313 0.312
Cl 0.157 0.843 0.312
Cl 0.313 0.157 0.688
Cl 0.333 0.667 0.958
Cl 0.667 0.333 0.042
Cl 0.687 0.843 0.312
Cl 0.843 0.157 0.688
Cl 0.843 0.687 0.688

Output
E_tot: -4.4335 eV/atom
size of the total moment: 11.00 μB/cell
ρ: 2.75 Mg/m³
ΔE_f (raw): -1204 kJ/mol of formula units
crystal system: trigonal
DOS at the Fermi energy: 0.7267 states/eV per atom

=====

Entry 2:
DFT (PBE) results for Ba2CoGeCl after structural relaxation.

abc: 6.121 6.121 4.135
angles: 90.00 90.00 90.00
Atoms (fractional coordinates):
Ba 0.000 0.500 0.000
Ba 0.500 0.000 0.000
Co 0.000 0.000 0.500
Ge 0.500 0.500 0.500
Cl 0.000 0.000 0.000

Output
E_tot: -3.8082 eV/atom
size of the total moment: 1.17 μB/cell
ρ: 4.73 Mg/m³
ΔE_f (raw): -157 kJ/mol of formula units
crystal system: tetragonal
DOS at the Fermi energy: 0.8360 states/eV per atom

=====

Entry 3:
DFT (PBE) results for BaHfCo2Cl after structural relaxation.

abc: 4.431 4.431 5.503
angles: 90.00 90.00 90.00
Atoms (fractional coordinates):
Ba 0.000 0.000 0.000
Hf 0.500 0.500 0.000
Co 0.000 0.500 0.500
Co 0.500 0.000 0.500
Cl 0.000 0.000 0.500

Output
E_tot: -4.6325 eV/atom
size of the total moment: 1.89 μB/cell
ρ: 7.21 Mg/m³
ΔE_f (raw): 460 kJ/mol of formula units
crystal system: tetragonal
DOS at the Fermi energy: 1.4746 states/eV per atom

=====

Entry 4:
DFT (PBE) results for KBaCoCl6 after structural relaxation.

abc: 7.094 7.094 6.184
angles: 90.00 90.00 120.00
Atoms (fractional coordinates):
K 0.000 0.000 0.000
Ba 0.667 0.333 0.500
Co 0.333 0.667 0.000
Cl 0.068 0.409 0.217
Cl 0.068 0.659 0.783
Cl 0.341 0.409 0.783
Cl 0.341 0.932 0.217
Cl 0.591 0.659 0.217
Cl 0.591 0.932 0.783

Output
E_tot: -3.7805 eV/atom
size of the total moment: 0.15 μB/cell
ρ: 2.76 Mg/m³
ΔE_f (raw): -1237 kJ/mol of formula units
crystal system: trigonal

=====

Entry 5:
DFT (PBE) results for BaLi2CoCl8 after structural relaxation.

abc: 6.188 6.188 8.359
angles: 90.00 90.00 120.00
Atoms (fractional coordinates):
Ba 0.000 0.000 0.000
Li 0.333 0.667 0.691
Li 0.667 0.333 0.309
Co 0.000 0.000 0.500
Cl 0.044 0.732 0.341
Cl 0.268 0.312 0.341
Cl 0.312 0.044 0.659
Cl 0.333 0.667 0.971
Cl 0.667 0.333 0.029
Cl 0.688 0.956 0.341
Cl 0.732 0.688 0.659
Cl 0.956 0.268 0.659

Output
E_tot: -3.6419 eV/atom
size of the total moment: 1.08 μB/cell
ρ: 2.96 Mg/m³
ΔE_f (raw): -1551 kJ/mol of formula units
crystal system: trigonal
DOS at the Fermi energy: 1.0486 states/eV per atom

=====

Entry 6:
DFT (PBE) results for BaLiCo2Cl8 after structural relaxation.

abc: 6.439 6.439 8.816
angles: 90.00 90.00 120.00
Atoms (fractional coordinates):
Ba 0.000 0.000 0.000
Li 0.000 0.000 0.500
Co 0.333 0.667 0.749
Co 0.667 0.333 0.251
Cl 0.021 0.317 0.688
Cl 0.295 0.979 0.688
Cl 0.317 0.295 0.312
Cl 0.333 0.667 0.001
Cl 0.667 0.333 0.999
Cl 0.683 0.705 0.688
Cl 0.705 0.021 0.312
Cl 0.979 0.683 0.312

Output
E_tot: -3.9526 eV/atom
size of the total moment: 7.00 μB/cell
ρ: 2.86 Mg/m³
ΔE_f (raw): -1410 kJ/mol of formula units
crystal system: trigonal
DOS at the Fermi energy: 1.1964 states/eV per atom

=====

Entry 7:
DFT (PBE) results for BaMg2CoCl8 after structural relaxation.

abc: 6.085 8.038 6.323
angles: 90.00 93.06 90.00
Atoms (fractional coordinates):
Ba 0.000 0.000 0.000
Mg 0.500 0.270 0.500
Mg 0.500 0.730 0.500
Co 0.000 0.500 0.000
Cl 0.241 0.296 0.174
Cl 0.241 0.704 0.174
Cl 0.271 0.500 0.668
Cl 0.295 0.000 0.630
Cl 0.705 0.000 0.370
Cl 0.729 0.500 0.332
Cl 0.759 0.296 0.826
Cl 0.759 0.704 0.826

Output
E_tot: -3.8156 eV/atom
size of the total moment: 3.00 μB/cell
ρ: 2.84 Mg/m³
ΔE_f (raw): -1814 kJ/mol of formula units
crystal system: monoclinic
DOS at the Fermi energy: 0.0466 states/eV per atom

=====

Entry 8:
DFT (PBE) results for BaMnCo2Cl8 after structural relaxation.

abc: 6.291 6.291 9.102
angles: 93.05 93.05 70.63
Atoms (fractional coordinates):
Ba 0.000 0.000 0.000
Mn 0.000 0.000 0.500
Co 0.374 0.374 0.717
Co 0.626 0.626 0.283
Cl 0.240 0.240 0.513
Cl 0.240 0.752 0.288
Cl 0.248 0.760 0.712
Cl 0.299 0.299 0.943
Cl 0.701 0.701 0.057
Cl 0.752 0.240 0.288
Cl 0.760 0.248 0.712
Cl 0.760 0.760 0.487

Output
E_tot: -4.4727 eV/atom
size of the total moment: 11.05 μB/cell
ρ: 2.91 Mg/m³
ΔE_f (raw): -1312 kJ/mol of formula units
crystal system: monoclinic